No. 1
# Ho3CSe3, relaxed, DFT PBE
data_Ho3CSe3
_chemical_formula_sum 'Ho6 C2 Se6'
_cell_length_a 7.302
_cell_length_b 7.302
_cell_length_c 7.085
_cell_angle_alpha 96.05
_cell_angle_beta 96.05
_cell_angle_gamma 115.24
_symmetry_space_group_name_H-M 'P 1'
_symmetry_Int_Tables_number 1
loop_
_symmetry_equiv_pos_as_xyz
'x,y,z'
loop_
_atom_site_label
_atom_site_fract_x
_atom_site_fract_y
_atom_site_fract_z
Se1 0.266 0.734 0.000
Se2 0.405 0.405 0.644
Ho1 0.148 0.449 0.268
C1 0.168 0.168 0.133
Se3 0.829 0.171 0.500
Se4 0.595 0.595 0.356
Ho2 0.098 0.098 0.803
Ho3 0.852 0.551 0.732
Se5 0.734 0.266 0.000
Ho4 0.902 0.902 0.197
Ho5 0.551 0.852 0.732
Se6 0.171 0.829 0.500
Ho6 0.449 0.148 0.268
C2 0.832 0.832 0.867
# - ρ (g/cm3) = 7.37
# - N(E_F) (states/eV/cell) = 3.6
# - formation energy from raw total energies (eV per atom) = -1.196



No. 2
# Ho5CSe5, relaxed, DFT PBE
data_Ho5CSe5
_chemical_formula_sum 'Ho5 C1 Se5'
_cell_length_a 5.632
_cell_length_b 6.920
_cell_length_c 7.891
_cell_angle_alpha 107.14
_cell_angle_beta 90.00
_cell_angle_gamma 114.01
_symmetry_space_group_name_H-M 'P 1'
_symmetry_Int_Tables_number 1
loop_
_symmetry_equiv_pos_as_xyz
'x,y,z'
loop_
_atom_site_label
_atom_site_fract_x
_atom_site_fract_y
_atom_site_fract_z
Se1 0.665 0.330 0.827
Se2 0.000 0.000 0.500
Se3 0.676 0.353 0.333
Ho1 0.149 0.298 0.303
C1 0.000 0.000 0.000
Se4 0.324 0.647 0.667
Ho2 0.147 0.294 0.847
Ho3 0.500 0.000 0.000
Ho4 0.851 0.702 0.697
Ho5 0.853 0.706 0.153
Se5 0.335 0.670 0.173
# - ρ (g/cm3) = 7.69
# - N(E_F) (states/eV/cell) = 2.8
# - formation energy from raw total energies (eV per atom) = -1.593



No. 3
# Ho4CSe3, relaxed, DFT PBE
data_Ho4CSe3
_chemical_formula_sum 'Ho4 C1 Se3'
_cell_length_a 3.879
_cell_length_b 6.912
_cell_length_c 6.912
_cell_angle_alpha 108.72
_cell_angle_beta 90.00
_cell_angle_gamma 90.00
_symmetry_space_group_name_H-M 'P 1'
_symmetry_Int_Tables_number 1
loop_
_symmetry_equiv_pos_as_xyz
'x,y,z'
loop_
_atom_site_label
_atom_site_fract_x
_atom_site_fract_y
_atom_site_fract_z
Ho1 0.000 0.210 0.210
Se1 0.500 0.500 0.500
Se2 0.000 0.000 0.500
Se3 0.000 0.500 0.000
Ho2 0.500 0.778 0.222
Ho3 0.500 0.222 0.778
C1 0.500 0.000 0.000
Ho4 0.000 0.790 0.790
# - relative energy among the computed polymorphs (meV/atom) = 0
# - ρ (g/cm3) = 8.60
# - N(E_F) (states/eV/cell) = 2.5
# - formation energy from raw total energies (eV per atom) = -1.479



No. 4
# SmHoCSe, relaxed, DFT PBE
data_SmHoCSe
_chemical_formula_sum 'Sm1 Ho1 C1 Se1'
_cell_length_a 3.772
_cell_length_b 3.772
_cell_length_c 7.142
_cell_angle_alpha 90.01
_cell_angle_beta 105.31
_cell_angle_gamma 120.00
_symmetry_space_group_name_H-M 'P 1'
_symmetry_Int_Tables_number 1
loop_
_symmetry_equiv_pos_as_xyz
'x,y,z'
loop_
_atom_site_label
_atom_site_fract_x
_atom_site_fract_y
_atom_site_fract_z
Se1 0.962 0.379 0.356
C1 0.308 0.552 0.875
Ho1 0.104 0.950 0.070
Sm1 0.504 0.150 0.669
# - ρ (g/cm3) = 8.05
# - N(E_F) (states/eV/cell) = 0.1
# - formation energy from raw total energies (eV per atom) = -1.070



No. 5
# Ho6TeC3Se2, relaxed, DFT PBE
data_Ho6TeC3Se2
_chemical_formula_sum 'Ho6 Te1 C3 Se2'
_cell_length_a 3.772
_cell_length_b 7.987
_cell_length_c 8.840
_cell_angle_alpha 107.39
_cell_angle_beta 102.32
_cell_angle_gamma 90.00
_symmetry_space_group_name_H-M 'P 1'
_symmetry_Int_Tables_number 1
loop_
_symmetry_equiv_pos_as_xyz
'x,y,z'
loop_
_atom_site_label
_atom_site_fract_x
_atom_site_fract_y
_atom_site_fract_z
C1 0.500 0.500 0.000
Ho1 0.681 0.058 0.362
Te1 0.500 0.000 0.000
Ho2 0.988 0.286 0.975
Ho3 0.319 0.942 0.638
Se1 0.833 0.667 0.667
Ho4 0.012 0.714 0.025
C2 0.168 0.831 0.336
Ho5 0.658 0.610 0.315
C3 0.832 0.169 0.664
Se2 0.167 0.333 0.333
Ho6 0.342 0.390 0.685
# - ρ (g/cm3) = 8.79
# - N(E_F) (states/eV/cell) = 0.9
# - formation energy from raw total energies (eV per atom) = -1.058



No. 6
# Ho8Te3CSe3, relaxed, DFT PBE
data_Ho8Te3CSe3
_chemical_formula_sum 'Ho8 Te3 C1 Se3'
_cell_length_a 8.166
_cell_length_b 8.166
_cell_length_c 8.436
_cell_angle_alpha 118.95
_cell_angle_beta 90.00
_cell_angle_gamma 120.00
_symmetry_space_group_name_H-M 'P 1'
_symmetry_Int_Tables_number 1
loop_
_symmetry_equiv_pos_as_xyz
'x,y,z'
loop_
_atom_site_label
_atom_site_fract_x
_atom_site_fract_y
_atom_site_fract_z
Ho1 0.211 0.421 0.696
Ho2 0.789 0.579 0.304
Ho3 0.211 0.986 0.696
Te1 0.500 0.500 0.000
Ho4 0.789 0.014 0.304
Te2 0.000 0.000 0.000
C1 0.000 0.000 0.500
Te3 0.000 0.500 0.000
Se1 0.500 0.500 0.500
Se2 0.000 0.500 0.500
Ho5 0.262 0.524 0.286
Se3 0.500 0.000 0.500
Ho6 0.225 0.014 0.304
Ho7 0.738 0.476 0.714
Ho8 0.775 0.986 0.696
# - ρ (g/cm3) = 8.02
# - N(E_F) (states/eV/cell) = 8.5
# - formation energy from raw total energies (eV per atom) = -1.253